DFT (PBE-GGA) results for a relaxed TbP2PdO8 crystal.

Summary:
- E: -7.056 eV/atom
- Space-group type: P-3m1 (164)

Cell lengths 5.179, 5.179, 6.759 Å; angles 90.00, 90.00, 120.00 degrees
Fractional positions:
Tb  0.000  0.000  0.000
P  0.333  0.667  0.215
P  0.667  0.333  0.785
Pd  0.000  0.000  0.500
O  0.167  0.334  0.279
O  0.167  0.833  0.279
O  0.333  0.667  0.988
O  0.334  0.167  0.721
O  0.666  0.833  0.279
O  0.667  0.333  0.012
O  0.833  0.167  0.721
O  0.833  0.666  0.721

=====

DFT (PBE-GGA) results for a relaxed NaCl2F4 crystal.

Summary:
- E: -2.656 eV/atom
- Space-group type: I4/mmm (139)

Cell lengths 7.455, 7.455, 7.455 Å; angles 145.66, 145.66, 49.36 degrees
Fractional positions:
Na  0.000  0.000  0.000
Cl  0.361  0.361  0.000
Cl  0.639  0.639  0.000
F  0.000  0.500  0.500
F  0.239  0.239  0.000
F  0.500  0.000  0.500
F  0.761  0.761  0.000

=====

DFT (PBE-GGA) results for a relaxed ZnHgS2 crystal.

Summary:
- E: -2.767 eV/atom
- Space-group type: P3m1 (156)

Cell lengths 4.027, 4.027, 6.387 Å; angles 90.00, 90.00, 120.00 degrees
Fractional positions:
Zn  0.000  0.000  0.000
Hg  0.667  0.333  0.522
S  0.000  0.000  0.375
S  0.333  0.667  0.889

=====

DFT (PBE-GGA) results for a relaxed TbYTm2Se6 crystal.

Summary:
- E: -5.943 eV/atom
- Space-group type: R3 (146)

Cell lengths 7.664, 7.664, 7.664 Å; angles 55.73, 55.73, 55.73 degrees
Fractional positions:
Tb  0.000  0.000  0.000
Y  0.500  0.500  0.500
Tm  0.304  0.304  0.304
Tm  0.805  0.805  0.805
Se  0.090  0.409  0.701
Se  0.202  0.908  0.590
Se  0.409  0.701  0.090
Se  0.590  0.202  0.908
Se  0.701  0.090  0.409
Se  0.908  0.590  0.202

=====

DFT (PBE-GGA) results for a relaxed SrTc2 crystal.

Summary:
- E: -6.963 eV/atom
- Space-group type: I4/mmm (139)
- Relative energy among the computed polymorphs: 189.2 meV per atom

Cell lengths 6.286, 6.286, 6.286 Å; angles 148.29, 148.29, 45.46 degrees
Fractional positions:
Sr  0.000  0.000  0.000
Tc  0.273  0.273  0.000
Tc  0.727  0.727  0.000

=====

DFT (PBE-GGA) results for a relaxed Dy2Tm2Se2S3 crystal.

Summary:
- E: -5.819 eV/atom
- Space-group type: I4/mmm (139)

Cell lengths 8.197, 8.197, 8.197 Å; angles 142.41, 142.41, 54.21 degrees
Fractional positions:
Dy  0.201  0.201  0.000
Dy  0.799  0.799  0.000
Tm  0.000  0.500  0.500
Tm  0.500  0.000  0.500
Se  0.397  0.397  0.000
Se  0.603  0.603  0.000
S  0.000  0.000  0.000
S  0.250  0.750  0.500
S  0.750  0.250  0.500

=====

DFT (PBE-GGA) results for a relaxed ReAs2BrCl crystal.

Summary:
- E: -4.665 eV/atom
- Space-group type: P4/mmm (123)
- Relative energy among the computed polymorphs: 0.0 meV per atom

Cell lengths 4.810, 4.810, 5.181 Å; angles 90.00, 90.00, 90.00 degrees
Fractional positions:
Re  0.000  0.000  0.000
As  0.000  0.500  0.000
As  0.500  0.000  0.000
Br  0.000  0.000  0.500
Cl  0.500  0.500  0.500

=====

DFT (PBE-GGA) results for a relaxed LiCo3Br crystal.

Summary:
- E: -4.004 eV/atom
- Space-group type: Pm-3m (221)
- Relative energy among the computed polymorphs: 0.0 meV per atom

Cell lengths 4.361, 4.361, 4.361 Å; angles 90.00, 90.00, 90.00 degrees
Fractional positions:
Li  0.000  0.000  0.000
Co  0.000  0.500  0.500
Co  0.500  0.000  0.500
Co  0.500  0.500  0.000
Br  0.500  0.500  0.500

=====

DFT (PBE-GGA) results for a relaxed CaSc5 crystal.

Summary:
- E: -5.458 eV/atom
- Space-group type: Cmmm (65)
- Relative energy among the computed polymorphs: 35.5 meV per atom

Cell lengths 7.423, 7.423, 4.749 Å; angles 90.00, 90.00, 142.54 degrees
Fractional positions:
Ca  0.000  0.000  0.000
Sc  0.176  0.824  0.500
Sc  0.326  0.674  0.000
Sc  0.500  0.500  0.500
Sc  0.674  0.326  0.000
Sc  0.824  0.176  0.500

=====

DFT (PBE-GGA) results for a relaxed RbReNi crystal.

Summary:
- E: -5.580 eV/atom
- Space-group type: P-1 (2)
- Relative energy among the computed polymorphs: 286.1 meV per atom

Cell lengths 4.117, 5.031, 10.352 Å; angles 83.51, 79.13, 66.12 degrees
Fractional positions:
Rb  0.028  0.221  0.202
Rb  0.972  0.779  0.798
Re  0.363  0.246  0.527
Re  0.637  0.754  0.473
Ni  0.242  0.637  0.373
Ni  0.758  0.363  0.627

=====

DFT (PBE-GGA) results for a relaxed Mg4In7Bi crystal.

Summary:
- E: -2.488 eV/atom
- Space-group type: C2/m (12)

Cell lengths 5.787, 5.787, 14.033 Å; angles 109.59, 109.59, 44.27 degrees
Fractional positions:
Mg  0.158  0.158  0.176
Mg  0.159  0.159  0.419
Mg  0.841  0.841  0.581
Mg  0.842  0.842  0.824
In  0.171  0.171  0.908
In  0.183  0.183  0.658
In  0.488  0.488  0.260
In  0.500  0.500  0.500
In  0.512  0.512  0.740
In  0.817  0.817  0.342
In  0.829  0.829  0.092
Bi  0.500  0.500  0.000

=====

DFT (PBE-GGA) results for a relaxed Ac2HoNpS6 crystal.

Summary:
- E: -6.941 eV/atom
- Space-group type: R3 (146)

Cell lengths 7.519, 7.519, 7.519 Å; angles 58.03, 58.03, 58.03 degrees
Fractional positions:
Ac  0.000  0.000  0.000
Ac  0.498  0.498  0.498
Ho  0.712  0.712  0.712
Np  0.212  0.212  0.212
S  0.070  0.431  0.846
S  0.349  0.924  0.576
S  0.431  0.846  0.070
S  0.576  0.349  0.924
S  0.846  0.070  0.431
S  0.924  0.576  0.349